# Ba2TlH6Rh

A geometry-optimized Ba2TlH6Rh structure (PBE, Alexandria).

Summary:
**VASP energy**: -3.782 eV per atom
**Volume**: 18.30 Å³ per atom

abc: 7.5251 5.2991 5.2991
angles: 120.00 90.00 90.00
Last column: nearest neighbours and their distance in Å.
Atoms (fractional coordinates):
Ba1 0.2072 0.3333 0.6667  9 H 2.72-3.00
Ba2 0.7928 0.6667 0.3333  9 H 2.72-3.00
Tl1 0.5000 0.0000 0.0000  6 H 3.15
H1 0.8755 0.1519 0.3039  1 Rh 1.68
H2 0.8755 0.1519 0.8481  1 Rh 1.68
H3 0.8755 0.6961 0.8481  1 Rh 1.68
H4 0.1245 0.8481 0.1519  1 Rh 1.68
H5 0.1245 0.3039 0.1519  1 Rh 1.68
H6 0.1245 0.8481 0.6961  1 Rh 1.68
Rh1 0.0000 0.0000 0.0000  6 H 1.68